Computed, not measured: a geometry-optimized ThGaCu structure at the PBE level of DFT.

The calculation puts the formation energy at -0.001 eV/atom. For the density of states at the Fermi level, the calculation gives 3.9 states/eV/cell. The calculation puts the total magnetization at 0.000 μB/cell.

a b c (Å): 3.9509 3.9509 8.6274
angles (deg): 90.00 90.00 90.00
Space group I4mm (No. 107)
One atom of each set of equivalent atoms:
Th1 0.0000 0.0000 0.0000
Ga1 0.0000 0.0000 0.6554
Cu1 0.0000 0.0000 0.3429